[1]
Fe2CoRu (PBE, relaxed); D(E_F) = 1.3112 states/eV per atom; calculated total energy = -8.18 eV/atom; energy relative to the elements = 0.6 eV per formula unit; space-group type = Pmm2
1.0
2.606 0.000 0.000
0.000 3.545 0.000
0.000 0.000 5.149
Fe Co Ru
2 1 1
Direct
0.000 0.000 0.000
0.500 0.500 0.253
0.500 0.500 0.764
0.000 0.000 0.503

[2]
NbOs2PbBr (PBE, relaxed); D(E_F) = 1.6622 states/eV per atom; calculated total energy = -5.37 eV/atom; raw formation energy = 2.210 eV per atom; space-group type = P4/mmm
1.0
4.550 0.000 0.000
0.000 4.550 0.000
0.000 0.000 5.379
Nb Os Pb Br
1 2 1 1
Direct
0.000 0.000 0.000
0.000 0.500 0.500
0.500 0.000 0.500
0.500 0.500 0.000
0.500 0.500 0.500

[3]
InTcHg2 (PBE, relaxed); D(E_F) = 0.9142 states/eV per atom; calculated total energy = -2.95 eV/atom; energy relative to the elements = 1.9 eV per formula unit; space-group type = I-4m2
1.0
-2.074 2.074 4.634
2.074 -2.074 4.634
2.074 2.074 -4.634
In Tc Hg
1 1 2
Direct
0.000 0.000 0.000
0.250 0.750 0.500
0.500 0.500 0.000
0.750 0.250 0.500

Number 3 is which compound? InTcHg2

Among the records above, which one has the highest calculated total energy? InTcHg2